# GGA-PBE Pr6Ga3Sn, relaxed
# - DOS at the Fermi energy (states/eV per atom) = 0.960
data_Pr6Ga3Sn
_chemical_formula_sum 'Pr12 Ga6 Sn2'
_space_group_name_H-M_alt 'P 1 21/c 1'
_space_group_IT_number 14
_space_group_name_Hall '-P 2ybc'
_cell_length_a 8.047
_cell_length_b 8.117
_cell_length_c 12.428
_cell_angle_alpha 90.00
_cell_angle_beta 129.87
_cell_angle_gamma 90.00
loop_
_atom_site_label
_atom_site_type_symbol
_atom_site_fract_x
_atom_site_fract_y
_atom_site_fract_z
Pr1 Pr 0.008 0.095 0.242
Pr2 Pr 0.228 0.670 0.073
Pr3 Pr 0.399 0.160 0.072
Ga1 Ga 0.000 0.000 0.000
Ga2 Ga 0.294 0.141 0.750
Sn1 Sn 0.500 0.000 0.500

# GGA-PBE Pr4GaSn, relaxed
# - energy above the most stable polymorph in this dataset (eV/f.u.) = 0.28
# - DOS at the Fermi energy (states/eV per atom) = 1.472
data_Pr4GaSn
_chemical_formula_sum 'Pr64 Ga16 Sn16'
_space_group_name_H-M_alt 'F -4 3 m'
_space_group_IT_number 216
_space_group_name_Hall 'F -4 2 3'
_cell_length_a 14.475
_cell_length_b 14.475
_cell_length_c 14.475
_cell_angle_alpha 90.00
_cell_angle_beta 90.00
_cell_angle_gamma 90.00
loop_
_atom_site_label
_atom_site_type_symbol
_atom_site_fract_x
_atom_site_fract_y
_atom_site_fract_z
Pr1 Pr 0.000 0.000 0.189
Pr2 Pr 0.051 0.250 0.250
Pr3 Pr 0.111 0.111 0.611
Ga1 Ga 0.107 0.107 0.393
Sn1 Sn 0.162 0.162 0.838

# GGA-PBE PrGa2Sn2, relaxed
# - DOS at the Fermi energy (states/eV per atom) = 0.433
data_PrGa2Sn2
_chemical_formula_sum 'Pr4 Ga8 Sn8'
_space_group_name_H-M_alt 'C m c m'
_space_group_IT_number 63
_space_group_name_Hall '-C 2c 2'
_cell_length_a 4.759
_cell_length_b 21.591
_cell_length_c 4.697
_cell_angle_alpha 90.00
_cell_angle_beta 90.00
_cell_angle_gamma 90.00
loop_
_atom_site_label
_atom_site_type_symbol
_atom_site_fract_x
_atom_site_fract_y
_atom_site_fract_z
Pr1 Pr 0.000 0.135 0.250
Ga1 Ga 0.000 0.029 0.750
Ga2 Ga 0.000 0.465 0.750
Sn1 Sn 0.000 0.249 0.750
Sn2 Sn 0.000 0.377 0.250

# GGA-PBE PrGa4Sn, relaxed
# - DOS at the Fermi energy (states/eV per atom) = 0.718
data_PrGa4Sn
_chemical_formula_sum 'Pr4 Ga16 Sn4'
_space_group_name_H-M_alt 'F -4 3 m'
_space_group_IT_number 216
_space_group_name_Hall 'F -4 2 3'
_cell_length_a 8.026
_cell_length_b 8.026
_cell_length_c 8.026
_cell_angle_alpha 90.00
_cell_angle_beta 90.00
_cell_angle_gamma 90.00
loop_
_atom_site_label
_atom_site_type_symbol
_atom_site_fract_x
_atom_site_fract_y
_atom_site_fract_z
Pr1 Pr 0.000 0.000 0.000
Ga1 Ga 0.124 0.124 0.376
Sn1 Sn 0.250 0.250 0.750

# GGA-PBE Pr3Ga2Sn3, relaxed
# - DOS at the Fermi energy (states/eV per atom) = 0.473
data_Pr3Ga2Sn3
_chemical_formula_sum 'Pr12 Ga8 Sn12'
_space_group_name_H-M_alt 'C m c m'
_space_group_IT_number 63
_space_group_name_Hall '-C 2c 2'
_cell_length_a 4.845
_cell_length_b 11.546
_cell_length_c 15.574
_cell_angle_alpha 90.00
_cell_angle_beta 90.00
_cell_angle_gamma 90.00
loop_
_atom_site_label
_atom_site_type_symbol
_atom_site_fract_x
_atom_site_fract_y
_atom_site_fract_z
Pr1 Pr 0.000 0.069 0.250
Pr2 Pr 0.000 0.146 0.539
Ga1 Ga 0.000 0.338 0.162
Sn1 Sn 0.000 0.219 0.750
Sn2 Sn 0.000 0.439 0.590

# GGA-PBE TbPrGaSn, relaxed
# - energy above the most stable polymorph in this dataset (eV/f.u.) = 0.00
# - DOS at the Fermi energy (states/eV per atom) = 0.924
data_TbPrGaSn
_chemical_formula_sum 'Tb2 Pr2 Ga2 Sn2'
_space_group_name_H-M_alt 'A m m 2'
_space_group_IT_number 38
_space_group_name_Hall 'A 2 -2'
_cell_length_a 4.231
_cell_length_b 4.569
_cell_length_c 11.444
_cell_angle_alpha 90.00
_cell_angle_beta 90.00
_cell_angle_gamma 90.00
loop_
_atom_site_label
_atom_site_type_symbol
_atom_site_fract_x
_atom_site_fract_y
_atom_site_fract_z
Tb1 Tb 0.000 0.000 0.000
Pr1 Pr 0.500 0.000 0.721
Ga1 Ga 0.000 0.000 0.275
Sn1 Sn 0.500 0.000 0.438

# GGA-PBE TbPrGaSn, relaxed
# - energy above the most stable polymorph in this dataset (eV/f.u.) = 0.60
# - DOS at the Fermi energy (states/eV per atom) = 0.658
data_TbPrGaSn
_chemical_formula_sum 'Tb4 Pr4 Ga4 Sn4'
_space_group_name_H-M_alt 'F -4 3 m'
_space_group_IT_number 216
_space_group_name_Hall 'F -4 2 3'
_cell_length_a 7.540
_cell_length_b 7.540
_cell_length_c 7.540
_cell_angle_alpha 90.00
_cell_angle_beta 90.00
_cell_angle_gamma 90.00
loop_
_atom_site_label
_atom_site_type_symbol
_atom_site_fract_x
_atom_site_fract_y
_atom_site_fract_z
Tb1 Tb 0.000 0.000 0.000
Pr1 Pr 0.000 0.000 0.500
Ga1 Ga 0.250 0.250 0.250
Sn1 Sn 0.250 0.250 0.750

# GGA-PBE PrTmGaSn, relaxed
# - energy above the most stable polymorph in this dataset (eV/f.u.) = 0.60
# - DOS at the Fermi energy (states/eV per atom) = 0.768
data_PrTmGaSn
_chemical_formula_sum 'Pr4 Tm4 Ga4 Sn4'
_space_group_name_H-M_alt 'F -4 3 m'
_space_group_IT_number 216
_space_group_name_Hall 'F -4 2 3'
_cell_length_a 7.487
_cell_length_b 7.487
_cell_length_c 7.487
_cell_angle_alpha 90.00
_cell_angle_beta 90.00
_cell_angle_gamma 90.00
loop_
_atom_site_label
_atom_site_type_symbol
_atom_site_fract_x
_atom_site_fract_y
_atom_site_fract_z
Pr1 Pr 0.000 0.000 0.000
Tm1 Tm 0.000 0.000 0.500
Ga1 Ga 0.250 0.250 0.250
Sn1 Sn 0.250 0.250 0.750

# GGA-PBE PrTmGaSn, relaxed
# - energy above the most stable polymorph in this dataset (eV/f.u.) = 0.00
# - DOS at the Fermi energy (states/eV per atom) = 0.861
data_PrTmGaSn
_chemical_formula_sum 'Pr2 Tm2 Ga2 Sn2'
_space_group_name_H-M_alt 'A m m 2'
_space_group_IT_number 38
_space_group_name_Hall 'A 2 -2'
_cell_length_a 4.202
_cell_length_b 4.535
_cell_length_c 11.339
_cell_angle_alpha 90.00
_cell_angle_beta 90.00
_cell_angle_gamma 90.00
loop_
_atom_site_label
_atom_site_type_symbol
_atom_site_fract_x
_atom_site_fract_y
_atom_site_fract_z
Pr1 Pr 0.000 0.000 0.000
Tm1 Tm 0.500 0.000 0.278
Ga1 Ga 0.500 0.000 0.553
Sn1 Sn 0.000 0.000 0.718

# GGA-PBE PrYGaSn, relaxed
# - energy above the most stable polymorph in this dataset (eV/f.u.) = 0.00
# - DOS at the Fermi energy (states/eV per atom) = 0.916
data_PrYGaSn
_chemical_formula_sum 'Pr2 Y2 Ga2 Sn2'
_space_group_name_H-M_alt 'A m m 2'
_space_group_IT_number 38
_space_group_name_Hall 'A 2 -2'
_cell_length_a 4.226
_cell_length_b 4.564
_cell_length_c 11.427
_cell_angle_alpha 90.00
_cell_angle_beta 90.00
_cell_angle_gamma 90.00
loop_
_atom_site_label
_atom_site_type_symbol
_atom_site_fract_x
_atom_site_fract_y
_atom_site_fract_z
Pr1 Pr 0.000 0.000 0.000
Y1 Y 0.500 0.000 0.279
Ga1 Ga 0.500 0.000 0.554
Sn1 Sn 0.000 0.000 0.717

# GGA-PBE PrYGaSn, relaxed
# - energy above the most stable polymorph in this dataset (eV/f.u.) = 0.63
# - DOS at the Fermi energy (states/eV per atom) = 0.667
data_PrYGaSn
_chemical_formula_sum 'Pr4 Y4 Ga4 Sn4'
_space_group_name_H-M_alt 'F -4 3 m'
_space_group_IT_number 216
_space_group_name_Hall 'F -4 2 3'
_cell_length_a 7.533
_cell_length_b 7.533
_cell_length_c 7.533
_cell_angle_alpha 90.00
_cell_angle_beta 90.00
_cell_angle_gamma 90.00
loop_
_atom_site_label
_atom_site_type_symbol
_atom_site_fract_x
_atom_site_fract_y
_atom_site_fract_z
Pr1 Pr 0.000 0.000 0.000
Y1 Y 0.000 0.000 0.500
Ga1 Ga 0.250 0.250 0.250
Sn1 Sn 0.250 0.250 0.750

# GGA-PBE Pr2Zn4Ga3Sn, relaxed
# - DOS at the Fermi energy (states/eV per atom) = 0.177
data_Pr2Zn4Ga3Sn
_chemical_formula_sum 'Pr2 Zn4 Ga3 Sn1'
_space_group_name_H-M_alt 'P -4 m 2'
_space_group_IT_number 115
_space_group_name_Hall 'P -4 -2'
_cell_length_a 4.343
_cell_length_b 4.343
_cell_length_c 10.830
_cell_angle_alpha 90.00
_cell_angle_beta 90.00
_cell_angle_gamma 90.00
loop_
_atom_site_label
_atom_site_type_symbol
_atom_site_fract_x
_atom_site_fract_y
_atom_site_fract_z
Pr1 Pr 0.000 0.500 0.239
Zn1 Zn 0.000 0.000 0.000
Zn2 Zn 0.000 0.500 0.648
Zn3 Zn 0.500 0.500 0.000
Ga1 Ga 0.000 0.500 0.872
Ga2 Ga 0.500 0.500 0.500
Sn1 Sn 0.000 0.000 0.500

# GGA-PBE SrPrGa, relaxed
# - energy above the most stable polymorph in this dataset (eV/f.u.) = 0.35
# - DOS at the Fermi energy (states/eV per atom) = 0.916
data_SrPrGa
_chemical_formula_sum 'Sr4 Pr4 Ga4'
_space_group_name_H-M_alt 'F -4 3 m'
_space_group_IT_number 216
_space_group_name_Hall 'F -4 2 3'
_cell_length_a 7.517
_cell_length_b 7.517
_cell_length_c 7.517
_cell_angle_alpha 90.00
_cell_angle_beta 90.00
_cell_angle_gamma 90.00
loop_
_atom_site_label
_atom_site_type_symbol
_atom_site_fract_x
_atom_site_fract_y
_atom_site_fract_z
Sr1 Sr 0.000 0.000 0.000
Pr1 Pr 0.000 0.000 0.500
Ga1 Ga 0.250 0.250 0.750

# GGA-PBE SrPrGa, relaxed
# - energy above the most stable polymorph in this dataset (eV/f.u.) = 0.03
# - DOS at the Fermi energy (states/eV per atom) = 0.623
data_SrPrGa
_chemical_formula_sum 'Sr2 Pr2 Ga2'
_space_group_name_H-M_alt 'P -3 m 1'
_space_group_IT_number 164
_space_group_name_Hall '-P 3 2"'
_cell_length_a 5.1582
_cell_length_b 5.1582
_cell_length_c 9.5323
_cell_angle_alpha 90.00
_cell_angle_beta 90.00
_cell_angle_gamma 120.00
loop_
_atom_site_label
_atom_site_type_symbol
_atom_site_fract_x
_atom_site_fract_y
_atom_site_fract_z
Sr1 Sr 0.3333 0.6667 0.3362
Pr1 Pr 0.3333 0.6667 0.9099
Ga1 Ga 0.0000 0.0000 0.1450

# GGA-PBE SrPr2Ga6, relaxed
# - DOS at the Fermi energy (states/eV per atom) = 0.457
data_SrPr2Ga6
_chemical_formula_sum 'Sr1 Pr2 Ga6'
_space_group_name_H-M_alt 'P 6/m m m'
_space_group_IT_number 191
_space_group_name_Hall '-P 6 2'
_cell_length_a 7.4843
_cell_length_b 7.4843
_cell_length_c 4.4570
_cell_angle_alpha 90.00
_cell_angle_beta 90.00
_cell_angle_gamma 120.00
loop_
_atom_site_label
_atom_site_type_symbol
_atom_site_fract_x
_atom_site_fract_y
_atom_site_fract_z
Sr1 Sr 0.0000 0.0000 0.0000
Pr1 Pr 0.3333 0.6667 0.0000
Ga1 Ga 0.0000 0.3362 0.5000

# GGA-PBE SrPr2Ga4, relaxed
# - DOS at the Fermi energy (states/eV per atom) = 0.853
data_SrPr2Ga4
_chemical_formula_sum 'Sr2 Pr4 Ga8'
_space_group_name_H-M_alt 'I m m m'
_space_group_IT_number 71
_space_group_name_Hall '-I 2 2'
_cell_length_a 4.263
_cell_length_b 4.618
_cell_length_c 18.918
_cell_angle_alpha 90.00
_cell_angle_beta 90.00
_cell_angle_gamma 90.00
loop_
_atom_site_label
_atom_site_type_symbol
_atom_site_fract_x
_atom_site_fract_y
_atom_site_fract_z
Sr1 Sr 0.000 0.000 0.000
Pr1 Pr 0.000 0.500 0.316
Ga1 Ga 0.000 0.000 0.433
Ga2 Ga 0.000 0.500 0.146

# GGA-PBE Sr2PrGa4, relaxed
# - DOS at the Fermi energy (states/eV per atom) = 0.811
data_Sr2PrGa4
_chemical_formula_sum 'Sr4 Pr2 Ga8'
_space_group_name_H-M_alt 'I m m m'
_space_group_IT_number 71
_space_group_name_Hall '-I 2 2'
_cell_length_a 4.351
_cell_length_b 4.482
_cell_length_c 19.935
_cell_angle_alpha 90.00
_cell_angle_beta 90.00
_cell_angle_gamma 90.00
loop_
_atom_site_label
_atom_site_type_symbol
_atom_site_fract_x
_atom_site_fract_y
_atom_site_fract_z
Sr1 Sr 0.000 0.000 0.183
Pr1 Pr 0.000 0.500 0.500
Ga1 Ga 0.000 0.000 0.370
Ga2 Ga 0.000 0.500 0.062

# GGA-PBE Sr2PrGa, relaxed
# - DOS at the Fermi energy (states/eV per atom) = 1.050
data_Sr2PrGa
_chemical_formula_sum 'Sr6 Pr3 Ga3'
_space_group_name_H-M_alt 'R -3 m'
_space_group_IT_number 166
_space_group_name_Hall '-R 3 2"'
_cell_length_a 3.8430
_cell_length_b 3.8430
_cell_length_c 36.6160
_cell_angle_alpha 90.00
_cell_angle_beta 90.00
_cell_angle_gamma 120.00
loop_
_atom_site_label
_atom_site_type_symbol
_atom_site_fract_x
_atom_site_fract_y
_atom_site_fract_z
Sr1 Sr 0.0000 0.0000 0.1019
Pr1 Pr 0.0000 0.0000 0.0000
Ga1 Ga 0.0000 0.0000 0.5000

# GGA-PBE SrPrGa, relaxed
# - energy above the most stable polymorph in this dataset (eV/f.u.) = 0.08
# - DOS at the Fermi energy (states/eV per atom) = 1.066
data_SrPrGa
_chemical_formula_sum 'Sr4 Pr4 Ga4'
_space_group_name_H-M_alt 'A m m 2'
_space_group_IT_number 38
_space_group_name_Hall 'A 2 -2'
_cell_length_a 13.760
_cell_length_b 5.415
_cell_length_c 5.415
_cell_angle_alpha 90.00
_cell_angle_beta 90.00
_cell_angle_gamma 90.00
loop_
_atom_site_label
_atom_site_type_symbol
_atom_site_fract_x
_atom_site_fract_y
_atom_site_fract_z
Sr1 Sr 0.141 0.000 0.000
Pr1 Pr 0.375 0.000 0.502
Ga1 Ga 0.000 0.000 0.500
Ga2 Ga 0.500 0.000 0.003

# GGA-PBE Sr2PrGa2, relaxed
# - DOS at the Fermi energy (states/eV per atom) = 0.833
data_Sr2PrGa2
_chemical_formula_sum 'Sr4 Pr2 Ga4'
_space_group_name_H-M_alt 'C 1 2/m 1'
_space_group_IT_number 12
_space_group_name_Hall '-C 2y'
_cell_length_a 9.999
_cell_length_b 4.774
_cell_length_c 6.829
_cell_angle_alpha 90.00
_cell_angle_beta 92.66
_cell_angle_gamma 90.00
loop_
_atom_site_label
_atom_site_type_symbol
_atom_site_fract_x
_atom_site_fract_y
_atom_site_fract_z
Sr1 Sr 0.148 0.000 0.352
Pr1 Pr 0.000 0.500 0.000
Ga1 Ga 0.193 0.000 0.869

For each record above, in turn, the calculated total magnetization values are 0.00; 0.00; 0.00; 0.00; 0.00; 0.00; 0.00; 0.00; 0.00; 0.00; 0.00; 0.00; 0.00; 0.00; 0.00; 0.00; 0.00; 0.45; 0.00; 0.00 μB/f.u..
For each record above, in turn, the calculated DFT formation energy values are -332; -410; -385; -266; -562; -701; -551; -521; -671; -717; -559; -449; -161; -269; -613; -535; -516; 105; -250; -276 meV/atom.
For each record above, in turn, the calculated E_tot values are -4.508; -4.768; -4.153; -3.748; -4.612; -4.811; -4.660; -4.591; -4.742; -5.285; -5.127; -3.223; -3.324; -3.431; -3.880; -3.870; -3.409; -2.688; -3.413; -3.115 eV/atom.